The following is a DFT calculation (GGA-PBE) of a geometry-optimized Cd2AgBr5 structure.

The density comes out at 4.02 g/cm³. The value obtained for the uncorrected formation energy is -0.62 eV per atom. As for the total magnetization: 0.0 Bohr magnetons per cell.

The structure belongs to space group Cm (No. 8); the cell edges are 13.5085, 7.5723 and 6.8256 Å and the angles 90.00°, 120.00° and 90.00°. The asymmetric unit holds Cd at (0.0000, 0.0000, 0.0000), Cd at (0.1047, 0.5000, 0.6095), Ag at (0.0721, 0.5000, 0.1230), Br at (0.1342, 0.2435, 0.9223), Br at (0.3022, 0.5000, 0.6038) and Br at (0.4723, 0.2517, 0.2662).

---

The following is a DFT calculation (GGA-PBE) of a geometry-optimized CdAgBr2 structure.

The density comes out at 5.28 g/cm³. The value obtained for the uncorrected formation energy is -0.24 eV per atom. The calculation puts the polymorph energy (0 for the lowest one) at 9.6 kJ per mole of atoms. As for the total magnetization: 0.0 Bohr magnetons per cell.

The structure belongs to space group Cmm2 (No. 35); the cell edges are 4.2606, 6.4864 and 8.6471 Å and the angles 90.00°, 90.00° and 90.00°. The asymmetric unit holds Cd at (0.0000, 0.0000, 0.0000), Ag at (0.0000, 0.5000, 0.2201), Br at (0.0000, 0.0000, 0.3995) and Br at (0.0000, 0.5000, 0.8027).

---

The following is a DFT calculation (GGA-PBE) of a geometry-optimized CdAgBr2 structure.

The density comes out at 5.23 g/cm³. The value obtained for the uncorrected formation energy is -0.32 eV per atom. The calculation puts the polymorph energy (0 for the lowest one) at 1.9 kJ per mole of atoms. As for the total magnetization: 0.0 Bohr magnetons per cell.

The structure belongs to space group R3m (No. 160, hexagonal axes); the cell edges are 4.1302, 4.1302 and 24.4850 Å and the angles 90.00°, 90.00° and 120.00°. The asymmetric unit holds Cd at (0.0000, 0.0000, 0.0000), Ag at (0.0000, 0.0000, 0.2599), Br at (0.0000, 0.0000, 0.5397) and Br at (0.0000, 0.0000, 0.7294).

---

The following is a DFT calculation (GGA-PBE) of a geometry-optimized CdAg4Br structure.

The density comes out at 8.02 g/cm³. The value obtained for the uncorrected formation energy is 0.11 eV per atom. As for the total magnetization: 0.0 Bohr magnetons per cell.

The structure belongs to space group F-43m (No. 216); the cell edges are 8.0233, 8.0233 and 8.0233 Å and the angles 90.00°, 90.00° and 90.00°. The asymmetric unit holds Cd at (0.0000, 0.0000, 0.0000), Ag at (0.1253, 0.1253, 0.6253) and Br at (0.2500, 0.2500, 0.2500).

---

The following is a DFT calculation (GGA-PBE) of a geometry-optimized CdAgBr2 structure.

The density comes out at 5.77 g/cm³. The value obtained for the uncorrected formation energy is -0.29 eV per atom. The calculation puts the polymorph energy (0 for the lowest one) at 5.0 kJ per mole of atoms. As for the total magnetization: 0.0 Bohr magnetons per cell.

The structure belongs to space group P2/m (No. 10); the cell edges are 4.3011, 4.2991 and 5.9174 Å and the angles 90.00°, 90.11° and 90.00°. The asymmetric unit holds Cd at (0.0000, 0.0000, 0.0000), Ag at (0.5000, 0.5000, 0.5000), Br at (0.0000, 0.0000, 0.5000) and Br at (0.5000, 0.5000, 0.0000).

---

The following is a DFT calculation (GGA-PBE) of a geometry-optimized CdAg2Br4 structure.

The density comes out at 4.58 g/cm³. The value obtained for the uncorrected formation energy is -0.55 eV per atom. As for the total magnetization: 0.0 Bohr magnetons per cell.

The structure belongs to space group P-42m (No. 111); the cell edges are 6.2303, 6.2303 and 6.0504 Å and the angles 90.00°, 90.00° and 90.00°. The asymmetric unit holds Cd at (0.0000, 0.0000, 0.0000), Ag at (0.0000, 0.5000, 0.5000) and Br at (0.2546, 0.2546, 0.2346).

---

The following is a DFT calculation (GGA-PBE) of a geometry-optimized CdAgBr2 structure.

The density comes out at 5.04 g/cm³. The value obtained for the uncorrected formation energy is -0.22 eV per atom. The calculation puts the polymorph energy (0 for the lowest one) at 11.9 kJ per mole of atoms. As for the total magnetization: 0.0 Bohr magnetons per cell.

The structure belongs to space group R-3m (No. 166, hexagonal axes); the cell edges are 4.0399, 4.0399 and 26.5600 Å and the angles 90.00°, 90.00° and 120.00°. The asymmetric unit holds Cd at (0.0000, 0.0000, 0.0000), Ag at (0.0000, 0.0000, 0.5000) and Br at (0.0000, 0.0000, 0.1044).

---

The following is a DFT calculation (GGA-PBE) of a geometry-optimized CdAgBr2 structure.

The density comes out at 4.49 g/cm³. The value obtained for the uncorrected formation energy is -0.29 eV per atom. The calculation puts the polymorph energy (0 for the lowest one) at 5.2 kJ per mole of atoms. As for the total magnetization: 0.0 Bohr magnetons per cell.

The structure belongs to space group I-42d (No. 122); the cell edges are 6.5188, 6.5188 and 13.2196 Å and the angles 90.00°, 90.00° and 90.00°. The asymmetric unit holds Cd at (0.0000, 0.0000, 0.0000), Ag at (0.0000, 0.0000, 0.5000) and Br at (0.2284, 0.2500, 0.6250).

---

The following is a DFT calculation (GGA-PBE) of a geometry-optimized Cd3Ag2Br8 structure.

The density comes out at 4.94 g/cm³. The value obtained for the uncorrected formation energy is -0.69 eV per atom. As for the total magnetization: 0.0 Bohr magnetons per cell.

The structure belongs to space group C2/m (No. 12); the cell edges are 14.2862, 8.3118 and 7.2287 Å and the angles 90.00°, 110.87° and 90.00°. The asymmetric unit holds Cd at (0.0000, 0.0000, 0.0000), Cd at (0.0000, 0.2491, 0.5000), Ag at (0.1139, 0.5000, 0.0720), Br at (0.1176, 0.0000, 0.7509), Br at (0.1191, 0.2287, 0.2642) and Br at (0.1240, 0.5000, 0.7155).

---

The following is a DFT calculation (GGA-PBE) of a geometry-optimized CdAgBrCl2 structure.

The density comes out at 4.22 g/cm³. The value obtained for the uncorrected formation energy is -0.76 eV per atom. As for the total magnetization: 0.0 Bohr magnetons per cell.

The structure belongs to space group P2_1/m (No. 11); the cell edges are 7.3744, 4.0960 and 9.7687 Å and the angles 90.00°, 97.90° and 90.00°. The asymmetric unit holds Cd at (0.0873, 0.2500, 0.1693), Ag at (0.3866, 0.2500, 0.6445), Br at (0.0412, 0.2500, 0.6743), Cl at (0.2086, 0.7500, 0.0226) and Cl at (0.3985, 0.2500, 0.3425).

---

The following is a DFT calculation (GGA-PBE) of a geometry-optimized CdAg2Br2Cl2 structure.

The density comes out at 4.99 g/cm³. The value obtained for the uncorrected formation energy is -0.60 eV per atom. As for the total magnetization: 0.0 Bohr magnetons per cell.

The structure belongs to space group C2/m (No. 12); the cell edges are 13.5486, 4.0949 and 6.9628 Å and the angles 90.00°, 105.79° and 90.00°. The asymmetric unit holds Cd at (0.0000, 0.0000, 0.0000), Ag at (0.2416, 0.0000, 0.7437), Br at (0.1111, 0.5000, 0.8544) and Cl at (0.1430, 0.0000, 0.3345).

---

The following is a DFT calculation (GGA-PBE) of a geometry-optimized Cr2CdAgBr structure.

The density comes out at 4.71 g/cm³. The value obtained for the uncorrected formation energy is 1.03 eV per atom. As for the total magnetization: 9.2 Bohr magnetons per cell.

The structure belongs to space group P4/mmm (No. 123); the cell edges are 5.2646, 5.2646 and 5.1457 Å and the angles 90.00°, 90.00° and 90.00°. The asymmetric unit holds Cr at (0.0000, 0.5000, 0.0000), Cd at (0.0000, 0.0000, 0.0000), Ag at (0.0000, 0.0000, 0.5000) and Br at (0.5000, 0.5000, 0.5000).

---

The following is a DFT calculation (GGA-PBE) of a geometry-optimized Cs3CdAg2Br9 structure.

The density comes out at 4.73 g/cm³. The value obtained for the uncorrected formation energy is -1.00 eV per atom. As for the total magnetization: 0.0 Bohr magnetons per cell.

The structure belongs to space group P-3m1 (No. 164); the cell edges are 7.8156, 7.8156 and 9.5931 Å and the angles 90.00°, 90.00° and 120.00°. The asymmetric unit holds Cs at (0.0000, 0.0000, 0.0000), Cs at (0.3333, 0.6667, 0.6644), Cd at (0.0000, 0.0000, 0.5000), Ag at (0.3333, 0.6667, 0.1613), Br at (0.0000, 0.5000, 0.0000) and Br at (0.1674, 0.3348, 0.3305).